KMgGa2Au4 | PBE-GGA | relaxed

Properties
Electronic total energy in eV per atom: -3.041
ΔE_f in eV/atom: -0.3086
SG: No. 166
Crystal system: trigonal

a = 10.4654 Å, b = 10.4654 Å, c = 10.4654 Å
α = 24.84°, β = 24.84°, γ = 24.84°
Sites, in units of the cell vectors:
1 K 0.0000 0.0000 0.0000
2 Mg 0.5000 0.5000 0.5000
3 Ga 0.2423 0.2423 0.2423
4 Ga 0.7577 0.7577 0.7577
5 Au 0.1336 0.1336 0.1336
6 Au 0.4108 0.4108 0.4108
7 Au 0.5892 0.5892 0.5892
8 Au 0.8664 0.8664 0.8664